## Zr2FeP (GGA-PBE)

Data for a geometry-optimized Zr2FeP structure.

Properties
energy relative to the elements: -0.563 eV per atom
crystal system: trigonal

```
data_Zr2FeP
_chemical_formula_sum 'Zr6 Fe3 P3'
_space_group_name_H-M_alt 'R 3 m'
_space_group_IT_number 160
_space_group_name_Hall 'R 3 -2"'
_cell_length_a 3.7828
_cell_length_b 3.7828
_cell_length_c 17.7875
_cell_angle_alpha 90.00
_cell_angle_beta 90.00
_cell_angle_gamma 120.00
loop_
_atom_site_label
_atom_site_type_symbol
_atom_site_fract_x
_atom_site_fract_y
_atom_site_fract_z
_atom_site_occupancy
Zr1 Zr 0.0000 0.0000 0.0000 1
Zr2 Zr 0.0000 0.0000 0.1853 1
Fe1 Fe 0.0000 0.0000 0.7515 1
P1 P 0.0000 0.0000 0.4318 1
```